Record 1
The following is a PBE calculation of crystalline CdRu at its relaxed geometry, from the Alexandria database.

Unit cell a=2.9123 b=4.5341 c=5.1819 alpha=90.00 beta=90.00 gamma=90.00
Last column: nearest neighbours and their distance in Å.
Atoms (fractional coordinates):
Ru 0.5000 0.0000 0.5504  2 Ru 2.57, 2 Cd 2.82
Cd 0.0000 0.0000 0.0171  4 Cd 2.75-2.91, 6 Ru 2.82-2.96
Cd 0.0000 0.5000 0.3162  4 Cd 2.75-2.91, 6 Ru 2.82-2.96
Ru 0.5000 0.5000 0.7830  2 Ru 2.57, 2 Cd 2.82

Summary:
Total DFT energy (no corrections): -4.70 eV/atom
Theoretical density: 10.4 g/cm³
Total magnetization: 0.00 Bohr magnetons per cell
SG: Pmma


Record 2
The following is a PBE calculation of crystalline KCo2Si at its relaxed geometry, from the Alexandria database.

Unit cell a=2.8328 b=2.8328 c=7.9925 alpha=90.00 beta=90.00 gamma=90.00
Last column: nearest neighbours and their distance in Å.
Atoms (fractional coordinates):
Co 0.0000 0.0000 0.5919  4 Si 2.37, 1 Co 2.53
K 0.5000 0.5000 0.2500  4 K 2.83
Si 0.5000 0.5000 0.7500  8 Co 2.37
Co 0.0000 0.0000 0.9081  4 Si 2.37, 1 Co 2.53

Summary:
Total DFT energy (no corrections): -4.86 eV/atom
Theoretical density: 4.8 g/cm³
E_form (uncorrected): 0.33 eV/atom
Total magnetization: 1.15 Bohr magnetons per cell
SG: P4/mmm


Record 3
The following is a PBE calculation of crystalline SrMgCoSi at its relaxed geometry, from the Alexandria database.

Unit cell a=3.9793 b=3.9793 c=11.9253 alpha=90.00 beta=90.00 gamma=90.00
Last column: nearest neighbours and their distance in Å.
Atoms (fractional coordinates):
Co 0.7500 0.2500 0.0000  4 Si 2.28
Si 0.7500 0.7500 0.9064  4 Co 2.28
Mg 0.2500 0.7500 0.5000  4 Mg 2.81
Sr 0.7500 0.7500 0.2247  4 Si 3.22, 4 Co 3.34
Si 0.2500 0.2500 0.0936  4 Co 2.28
Mg 0.7500 0.2500 0.5000  4 Mg 2.81
Sr 0.2500 0.2500 0.7753  4 Si 3.22, 4 Co 3.34
Co 0.2500 0.7500 0.0000  4 Si 2.28

Summary:
Total DFT energy (no corrections): -4.22 eV/atom
Theoretical density: 3.5 g/cm³
E_form (uncorrected): -0.27 eV/atom
Total magnetization: 0.00 Bohr magnetons per cell
SG: P4/nmm


Record 4
The following is a PBE calculation of crystalline AgHN at its relaxed geometry, from the Alexandria database.

Unit cell a=3.2179 b=3.2854 c=12.2597 alpha=107.15 beta=141.80 gamma=88.64
Last column: nearest neighbours and their distance in Å.
Atoms (fractional coordinates):
Ag 0.8728 0.1242 0.3741  1 N 2.34
H 0.5096 0.2989 0.0789  1 N 1.03
N 0.0245 0.3347 0.9637  1 H 1.03
N 0.9755 0.6653 0.0363  1 H 1.03
H 0.4904 0.7011 0.9211  1 N 1.03
Ag 0.1272 0.8758 0.6259  1 N 2.34

Summary:
Total DFT energy (no corrections): -4.53 eV/atom
Theoretical density: 5.7 g/cm³
Total magnetization: 0.00 Bohr magnetons per cell
SG: P-1


Record 5
The following is a PBE calculation of crystalline Zn2CdS at its relaxed geometry, from the Alexandria database.

Unit cell a=4.7714 b=4.7714 c=4.7714 alpha=60.00 beta=60.00 gamma=60.00
Last column: nearest neighbours and their distance in Å.
Atoms (fractional coordinates):
Zn 0.7500 0.7500 0.7500  4 Cd 2.92, 4 S 2.92
S 0.0000 0.0000 0.0000  8 Zn 2.92
Cd 0.5000 0.5000 0.5000  8 Zn 2.92
Zn 0.2500 0.2500 0.2500  4 Cd 2.92, 4 S 2.92

Summary:
Total DFT energy (no corrections): -1.62 eV/atom
Theoretical density: 6.0 g/cm³
E_form (uncorrected): 0.28 eV/atom
Total magnetization: 0.00 Bohr magnetons per cell
SG: Fm-3m


Record 6
The following is a PBE calculation of crystalline KYZr at its relaxed geometry, from the Alexandria database.

Unit cell a=6.0553 b=6.0553 c=3.1300 alpha=90.00 beta=90.00 gamma=120.00
Last column: nearest neighbours and their distance in Å.
Atoms (fractional coordinates):
Zr 0.3333 0.6667 0.0000  2 Zr 3.13, 3 Y 3.50
K 0.6667 0.3333 0.5000  2 K 3.13
Y 0.0000 0.0000 0.0000  2 Y 3.13, 3 Zr 3.50

Summary:
Total DFT energy (no corrections): -4.47 eV/atom
Theoretical density: 3.7 g/cm³
Total magnetization: 1.43 Bohr magnetons per cell
SG: P-6m2
Excess energy over the best structure of this formula in the dataset: 71.4 kJ per mole of atoms


Record 7
The following is a PBE calculation of crystalline MnBeRe2 at its relaxed geometry, from the Alexandria database.

Unit cell a=6.5118 b=6.5118 c=5.2643 alpha=51.79 beta=51.79 gamma=90.00
Last column: nearest neighbours and their distance in Å.
Atoms (fractional coordinates):
Mn 0.7500 0.2500 0.5000  4 Re 2.54, 2 Be 2.55
Re 0.5921 0.1250 0.2500  2 Be 2.25
Re 0.3750 0.4079 0.7500  2 Be 2.25
Re 0.8750 0.8421 0.7500  2 Be 2.25
Mn 0.0000 0.0000 0.0000  4 Re 2.54, 2 Be 2.55
Be 0.2500 0.7500 0.5000  4 Re 2.25
Be 0.5000 0.5000 0.0000  4 Re 2.25
Re 0.1579 0.6250 0.2500  2 Be 2.25

Summary:
Total DFT energy (no corrections): -8.75 eV/atom
Theoretical density: 13.4 g/cm³
Total magnetization: 5.54 Bohr magnetons per cell
SG: I-42d


Record 8
The following is a PBE calculation of crystalline MgSnRh2 at its relaxed geometry, from the Alexandria database.

Unit cell a=3.3154 b=4.3933 c=4.3933 alpha=90.00 beta=90.00 gamma=90.00
Last column: nearest neighbours and their distance in Å.
Atoms (fractional coordinates):
Rh 0.0000 0.0000 0.5000  4 Sn 2.75, 4 Mg 2.75
Sn 0.5000 0.0000 0.0000  8 Rh 2.75
Rh 0.0000 0.5000 0.0000  4 Sn 2.75, 4 Mg 2.75
Mg 0.5000 0.5000 0.5000  8 Rh 2.75

Summary:
Total DFT energy (no corrections): -5.70 eV/atom
Theoretical density: 9.1 g/cm³
Total magnetization: 0.00 Bohr magnetons per cell
SG: P4/mmm
Excess energy over the best structure of this formula in the dataset: 2.8 kJ per mole of atoms


Record 9
The following is a PBE calculation of crystalline Ca2CdPt at its relaxed geometry, from the Alexandria database.

Unit cell a=3.5677 b=5.2016 c=11.2876 alpha=90.02 beta=108.50 gamma=90.00
Last column: nearest neighbours and their distance in Å.
Atoms (fractional coordinates):
Ca 0.3307 0.2496 0.3301  2 Pt 2.94, 4 Cd 3.26-3.27
Pt 0.6124 0.2483 0.1119  8 Ca 2.94-3.16
Cd 0.9099 0.7498 0.4094  4 Cd 3.24-3.57, 6 Ca 3.26-3.31
Ca 0.6693 0.7504 0.6699  2 Pt 2.94, 4 Cd 3.26-3.27
Cd 0.0901 0.2502 0.5906  4 Cd 3.24-3.57, 6 Ca 3.26-3.31
Pt 0.3876 0.7517 0.8881  8 Ca 2.94-3.16
Ca 0.8906 0.2507 0.8901  6 Pt 2.97-3.16
Ca 0.1094 0.7492 0.1099  6 Pt 2.97-3.16

Summary:
Total DFT energy (no corrections): -3.36 eV/atom
Theoretical density: 6.5 g/cm³
Total magnetization: 0.00 Bohr magnetons per cell
SG: P-1


Record 10
The following is a PBE calculation of crystalline Rb2Ge4Au5 at its relaxed geometry, from the Alexandria database.

Unit cell a=6.9933 b=7.5960 c=7.0950 alpha=76.89 beta=60.47 gamma=62.59
Last column: nearest neighbours and their distance in Å.
Atoms (fractional coordinates):
Rb 0.8520 0.0000 0.2960  2 Ge 3.56, 1 Rb 3.65, 2 Au 3.95
Rb 0.1480 0.0000 0.7040  2 Ge 3.56, 1 Rb 3.65, 2 Au 3.95
Ge 0.7791 0.6840 0.7578  5 Au 2.60-2.67
Au 0.7500 0.5000 0.5000  4 Ge 2.67
Ge 0.4631 0.3160 0.7578  5 Au 2.60-2.67
Ge 0.2209 0.3160 0.2422  5 Au 2.60-2.67
Au 0.5000 0.5000 0.0000  4 Ge 2.61
Au 0.0000 0.5000 0.0000  4 Ge 2.61
Au 0.2500 0.5000 0.5000  4 Ge 2.67
Ge 0.5369 0.6840 0.2422  5 Au 2.60-2.67
Au 0.5000 0.0000 0.0000  4 Ge 2.60

Summary:
Total DFT energy (no corrections): -3.53 eV/atom
Theoretical density: 8.2 g/cm³
Total magnetization: 0.00 Bohr magnetons per cell
SG: Fmmm


Record 11
The following is a PBE calculation of crystalline Nb2CdPOs at its relaxed geometry, from the Alexandria database.

Unit cell a=4.9543 b=4.8044 c=4.9543 alpha=90.00 beta=90.00 gamma=90.00
Last column: nearest neighbours and their distance in Å.
Atoms (fractional coordinates):
Nb 0.5000 0.0000 0.0000  2 Cd 2.48
Os 0.0000 0.5000 0.0000  2 Cd 2.40
Nb 0.0000 0.0000 0.5000  2 Cd 2.48
P 0.5000 0.5000 0.5000  8 Nb 3.45, 4 Os 3.50
Cd 0.0000 0.0000 0.0000  2 Os 2.40, 4 Nb 2.48

Summary:
Total DFT energy (no corrections): -5.12 eV/atom
Theoretical density: 7.3 g/cm³
Total magnetization: 0.00 Bohr magnetons per cell
SG: P4/mmm


Record 12
The following is a PBE calculation of crystalline PPtCl2 at its relaxed geometry, from the Alexandria database.

Unit cell a=4.6153 b=4.6153 c=4.6153 alpha=60.00 beta=60.00 gamma=60.00
Last column: nearest neighbours and their distance in Å.
Atoms (fractional coordinates):
Cl 0.7500 0.7500 0.7500  4 Pt 2.83, 4 P 2.83
Cl 0.2500 0.2500 0.2500  4 Pt 2.83, 4 P 2.83
Pt 0.5000 0.5000 0.5000  8 Cl 2.83
P 0.0000 0.0000 0.0000  8 Cl 2.83

Summary:
Total DFT energy (no corrections): -2.90 eV/atom
Theoretical density: 7.1 g/cm³
E_form (uncorrected): 0.89 eV/atom
Total magnetization: 0.00 Bohr magnetons per cell
SG: Fm-3m
Excess energy over the best structure of this formula in the dataset: 141.3 kJ per mole of atoms


Q: Among the records above, which one has the highest total DFT energy (no corrections)?
A: Zn2CdS


Q: The highest theoretical density belongs to which entry?
A: MnBeRe2


Q: theoretical density of number 12 (PPtCl2)?
A: 7.1 g/cm³


Q: What is the formula in the eleventh record?
A: Nb2CdPOs